(1)
{
  "formula": "CePrTm2",
  "functional": "PBE",
  "state": "optimized geometry",
  "sg": "Fm-3m (225)",
  "de_polymorph_kj_per_mol_atoms": 8.1,
  "magnetic_moment_mub_per_fu": 0.59,
  "ef_mev_per_atom": 143,
  "cell": [[0.000, 4.004, 4.004], [4.004, 0.000, 4.004], [4.004, 4.004, 0.000]],
  "species": ["Ce", "Pr", "Tm", "Tm"],
  "fractional_positions": [[0.000, 0.000, 0.000], [0.500, 0.500, 0.500], [0.250, 0.250, 0.250], [0.750, 0.750, 0.750]]
}

(2)
{
  "formula": "Ac5Pr4Tl4",
  "functional": "PBE",
  "state": "optimized geometry",
  "sg": "I4/m (87)",
  "magnetic_moment_mub_per_fu": 0.00,
  "ef_mev_per_atom": -236,
  "cell": [[-6.825, 6.825, 2.580], [6.825, -6.825, 2.580], [6.825, 6.825, -2.580]],
  "species": ["Ac", "Ac", "Ac", "Ac", "Ac", "Pr", "Pr", "Pr", "Pr", "Tl", "Tl", "Tl", "Tl"],
  "fractional_positions": [[0.000, 0.000, 0.000], [0.300, 0.621, 0.921], [0.379, 0.300, 0.678], [0.621, 0.700, 0.322], [0.700, 0.379, 0.079], [0.098, 0.409, 0.507], [0.409, 0.902, 0.311], [0.591, 0.098, 0.689], [0.902, 0.591, 0.493], [0.076, 0.759, 0.835], [0.241, 0.076, 0.317], [0.759, 0.924, 0.683], [0.924, 0.241, 0.165]]
}

(3)
{
  "formula": "TmThAu",
  "functional": "PBE",
  "state": "optimized geometry",
  "sg": "I4mm (107)",
  "de_polymorph_kj_per_mol_atoms": 0.0,
  "magnetic_moment_mub_per_fu": 0.00,
  "ef_mev_per_atom": -459,
  "cell": [[-1.781, 1.781, 6.311], [1.781, -1.781, 6.311], [1.781, 1.781, -6.311]],
  "species": ["Tm", "Th", "Au"],
  "fractional_positions": [[0.000, 0.000, 0.000], [0.698, 0.698, 0.000], [0.369, 0.369, 0.000]]
}

Number 1: density 8.0 g cm⁻³. Number 2: density 8.7 g cm⁻³. Number 3: density 12.4 g cm⁻³.